HfZr2ScC | PBE-GGA | relaxed

Results
* DFT formation energy: -0.2603 eV/atom
* V: 19.78 Å³ per atom

Cell lengths 4.6708, 4.6708, 4.5337 Å; angles 90.00, 90.00, 90.00 degrees
With the nearest neighbours (Å) after each atom.
Atoms (fractional coordinates):
Hf  0.0000  0.0000  0.0000  2 C 2.27
Zr  0.0000  0.5000  0.5000  2 C 2.34
Zr  0.5000  0.0000  0.5000  2 C 2.34
Sc  0.5000  0.5000  0.0000  8 Zr 3.25, 4 Hf 3.30
C  0.0000  0.0000  0.5000  2 Hf 2.27, 4 Zr 2.34